No. 1
Crystalline Er2CrRu3 at its relaxed geometry, computed with PBE-GGA.

Cell lengths 5.439, 5.439, 8.075 Å; angles 90.00, 90.00, 120.00 degrees
Positions (direct):
Er 0.667 0.333 0.439
Er 0.333 0.667 0.561
Er 0.333 0.667 0.939
Er 0.667 0.333 0.061
Cr 0.000 0.000 0.500
Cr 0.000 0.000 0.000
Ru 0.169 0.338 0.250
Ru 0.338 0.169 0.750
Ru 0.831 0.662 0.750
Ru 0.169 0.831 0.250
Ru 0.831 0.169 0.750
Ru 0.662 0.831 0.250

SG: P6_3/mmc (194)
Fermi-level density of states: 1.3650 states/eV/atom
uncorrected energy: -8.036 eV/atom

***

No. 2
Crystalline HgOs2Cl at its relaxed geometry, computed with PBE-GGA.

Cell lengths 4.576, 4.576, 4.576 Å; angles 60.00, 60.00, 60.00 degrees
Positions (direct):
Cl 0.500 0.500 0.500
Hg 0.750 0.750 0.750
Os 0.000 0.000 0.000
Os 0.250 0.250 0.250

SG: F-43m (216)
Fermi-level density of states: 1.4612 states/eV/atom
raw formation energy: 1.39 eV per atom

***

No. 3
Crystalline Mg2TlHRu at its relaxed geometry, computed with PBE-GGA.

Cell lengths 4.066, 4.655, 4.066 Å; angles 90.00, 90.00, 90.00 degrees
Positions (direct):
Ru 0.500 0.500 0.500
Tl 0.000 0.500 0.000
Mg 0.000 0.000 0.500
Mg 0.500 0.000 0.000
H 0.000 0.000 0.000

SG: P4/mmm (123)
Fermi-level density of states: 0.6009 states/eV/atom
uncorrected energy: -3.451 eV/atom

***

The lowest Fermi-level density of states belongs to which entry? Mg2TlHRu

***

Which value of Fermi-level density of states does entry 2 give? 1.4612 states/eV/atom

***

Please write out number 2 again, unchanged.
Crystalline HgOs2Cl at its relaxed geometry, computed with PBE-GGA.

Cell lengths 4.576, 4.576, 4.576 Å; angles 60.00, 60.00, 60.00 degrees
Positions (direct):
Cl 0.500 0.500 0.500
Hg 0.750 0.750 0.750
Os 0.000 0.000 0.000
Os 0.250 0.250 0.250

SG: F-43m (216)
Fermi-level density of states: 1.4612 states/eV/atom
raw formation energy: 1.39 eV per atom

***

The highest Fermi-level density of states belongs to which entry? HgOs2Cl